1.
Below is an optimized crystal structure of TaFeSnHg, with properties calculated at the PBE level.

The uncorrected energy is -5.555 eV/atom.

The space group is F-43m (No. 216) and the conventional cell measures 6.569, 6.569 and 6.569 Å, with angles of 90.00, 90.00 and 90.00 degrees. The distinct sites, in fractional coordinates, are Ta at (0.000, 0.000, 0.000), Fe at (0.000, 0.000, 0.500), Sn at (0.250, 0.250, 0.250) and Hg at (0.250, 0.250, 0.750).

---

2.
Below is an optimized crystal structure of Lu2Sc4Si3C3, with properties calculated at the PBE level.

The uncorrected energy is -7.084 eV/atom.

The space group is C2/c (No. 15) and the conventional cell measures 9.978, 5.758 and 14.481 Å, with angles of 90.00, 103.37 and 90.00 degrees. The distinct sites, in fractional coordinates, are Lu at (0.048, 0.082, 0.398), Sc at (0.112, 0.415, 0.585), Sc at (0.223, 0.418, 0.915), Si at (0.000, 0.447, 0.750), Si at (0.232, 0.150, 0.750), C at (0.082, 0.247, 0.000) and C at (0.250, 0.250, 0.500).

---

3.
Below is an optimized crystal structure of Ta7Ni6, with properties calculated at the PBE level.

Its energy relative to the elements is 0.423 eV per atom.

The space group is R-3m (No. 166, hexagonal axes) and the conventional cell measures 5.2952, 5.2952 and 25.8541 Å, with angles of 90.00, 90.00 and 120.00 degrees. The distinct sites, in fractional coordinates, are Ta at (0.0000, 0.0000, 0.0000), Ta at (0.0032, 0.5016, 0.4169), Ni at (0.0000, 0.0000, 0.1675), Ni at (0.0000, 0.0000, 0.3492) and Ni at (0.0000, 0.0000, 0.4560).

---

4.
Below is an optimized crystal structure of Al2Zn2Pb3, with properties calculated at the PBE level.

The uncorrected energy is -2.692 eV/atom.

The space group is R3m (No. 160, hexagonal axes) and the conventional cell measures 5.0587, 5.0587 and 24.5757 Å, with angles of 90.00, 90.00 and 120.00 degrees. The distinct sites, in fractional coordinates, are Al at (0.0000, 0.0000, 0.0000), Al at (0.0000, 0.0000, 0.4900), Zn at (0.0000, 0.0000, 0.2293), Zn at (0.0000, 0.0000, 0.7470), Pb at (0.0000, 0.0000, 0.3708), Pb at (0.0000, 0.0000, 0.6174) and Pb at (0.0000, 0.0000, 0.8649).

---

5.
Below is an optimized crystal structure of CdH2, with properties calculated at the PBE level.

The uncorrected energy is -2.319 eV/atom.

The space group is Fd-3m (No. 227, origin choice 2) and the conventional cell measures 8.308, 8.308 and 8.308 Å, with angles of 90.00, 90.00 and 90.00 degrees. The distinct sites, in fractional coordinates, are Cd at (0.125, 0.125, 0.125) and H at (0.000, 0.000, 0.000).

---

6.
Below is an optimized crystal structure of K2Ta2C, with properties calculated at the PBE level.

The uncorrected energy is -5.920 eV/atom.

The space group is P6_3/mmc (No. 194) and the conventional cell measures 3.4570, 3.4570 and 25.3819 Å, with angles of 90.00, 90.00 and 120.00 degrees. The distinct sites, in fractional coordinates, are K at (0.3333, 0.6667, 0.1255), Ta at (0.0000, 0.0000, 0.0000), Ta at (0.3333, 0.6667, 0.7500) and C at (0.0000, 0.0000, 0.2500).

---

7.
Below is an optimized crystal structure of CsGdIn, with properties calculated at the PBE level.

The uncorrected energy is -2.256 eV/atom.

The space group is F-43m (No. 216) and the conventional cell measures 8.189, 8.189 and 8.189 Å, with angles of 90.00, 90.00 and 90.00 degrees. The distinct sites, in fractional coordinates, are Cs at (0.000, 0.000, 0.000), Gd at (0.000, 0.000, 0.500) and In at (0.250, 0.250, 0.250).

---

8.
Below is an optimized crystal structure of HfTlAsO, with properties calculated at the PBE level.

The uncorrected energy is -6.775 eV/atom.

The space group is Pmc2_1 (No. 26) and the conventional cell measures 4.064, 8.371 and 6.466 Å, with angles of 90.00, 90.00 and 90.00 degrees. The distinct sites, in fractional coordinates, are Hf at (0.000, 0.116, 0.000), Tl at (0.500, 0.334, 0.430), As at (0.500, 0.301, 0.932) and O at (0.000, 0.056, 0.294).

---

9.
Below is an optimized crystal structure of YNbZnNi, with properties calculated at the PBE level.

Its energy relative to the elements is 0.268 eV per atom.

The space group is F-43m (No. 216) and the conventional cell measures 6.573, 6.573 and 6.573 Å, with angles of 90.00, 90.00 and 90.00 degrees. The distinct sites, in fractional coordinates, are Y at (0.000, 0.000, 0.000), Nb at (0.250, 0.250, 0.250), Zn at (0.000, 0.000, 0.500) and Ni at (0.250, 0.250, 0.750).